No. 1
Computed, not measured: a relaxed structure of Sr3Ga4Au at the GGA-PBE level of DFT.

Lattice parameters (Å, degrees): 9.7310 9.7310 9.7310 149.85 148.68 44.03
Sites, in units of the cell vectors:
1 Sr 0.0000 0.0000 0.0000
2 Sr 0.2042 0.7042 0.5000
3 Sr 0.7958 0.2958 0.5000
4 Ga 0.3762 0.1188 0.7426
5 Ga 0.3762 0.6336 0.2574
6 Ga 0.6238 0.3664 0.7426
7 Ga 0.6238 0.8812 0.2574
8 Au 0.5000 0.5000 0.0000

Values from the calculation:
Energy of formation in meV per atom: -351
Space-group type: Immm

---

No. 2
Computed, not measured: a relaxed structure of Ho2Cd2Rh at the GGA-PBE level of DFT.

Lattice parameters (Å, degrees): 10.1354 10.1354 10.1354 160.67 160.67 27.48
Sites, in units of the cell vectors:
1 Ho 0.0854 0.0854 0.0000
2 Ho 0.9146 0.9146 0.0000
3 Cd 0.2982 0.2982 0.0000
4 Cd 0.7018 0.7018 0.0000
5 Rh 0.5000 0.5000 0.0000

Values from the calculation:
Energy of formation in meV per atom: -525
Space-group type: I4/mmm

---

No. 3
Computed, not measured: a relaxed structure of K2SiAs at the GGA-PBE level of DFT.

Lattice parameters (Å, degrees): 6.1749 6.0827 4.4114 70.03 67.79 42.18
Sites, in units of the cell vectors:
1 K 0.2500 0.2500 0.2500
2 K 0.7500 0.7500 0.7500
3 Si 0.0000 0.0000 0.0000
4 As 0.5000 0.5000 0.5000

Values from the calculation:
Formation energy (no corrections) in eV per formula unit: 0.94
Space-group type: Fmmm

---

No. 4
Computed, not measured: a relaxed structure of Ho6IrPd2 at the GGA-PBE level of DFT.

Lattice parameters (Å, degrees): 6.5240 7.3158 11.8174 90.00 122.19 90.00
Sites, in units of the cell vectors:
1 Ho 0.0904 0.1832 0.4318
2 Ho 0.0904 0.3168 0.9318
3 Ho 0.2584 0.6751 0.4309
4 Ho 0.2584 0.8249 0.9309
5 Ho 0.4010 0.0412 0.2469
6 Ho 0.4010 0.4588 0.7469
7 Ho 0.5990 0.5412 0.2531
8 Ho 0.5990 0.9588 0.7531
9 Ho 0.7416 0.1751 0.0691
10 Ho 0.7416 0.3249 0.5691
11 Ho 0.9096 0.6832 0.0682
12 Ho 0.9096 0.8168 0.5682
13 Ir 0.5000 0.0000 0.5000
14 Ir 0.5000 0.5000 0.0000
15 Pd 0.1830 0.1158 0.7423
16 Pd 0.1830 0.3842 0.2423
17 Pd 0.8170 0.6158 0.7577
18 Pd 0.8170 0.8842 0.2577

Values from the calculation:
Energy of formation in meV per atom: -622
Space-group type: P2_1/c

---

No. 5
Computed, not measured: a relaxed structure of NaCaNdGe at the GGA-PBE level of DFT.

Lattice parameters (Å, degrees): 5.3131 5.3131 5.3131 60.00 60.00 60.00
Sites, in units of the cell vectors:
1 Na 0.0000 0.0000 0.0000
2 Ca 0.2500 0.2500 0.2500
3 Nd 0.7500 0.7500 0.7500
4 Ge 0.5000 0.5000 0.5000

Values from the calculation:
Energy of formation in meV per atom: -255
Space-group type: F-43m

---

No. 6
Computed, not measured: a relaxed structure of NpTlTe2O8 at the GGA-PBE level of DFT.

Lattice parameters (Å, degrees): 7.3894 7.3894 6.2713 110.03 110.03 45.87
Sites, in units of the cell vectors:
1 Np 0.0000 0.0000 0.0000
2 Tl 0.5000 0.5000 0.5000
3 Te 0.2914 0.2914 0.8205
4 Te 0.7086 0.7086 0.1795
5 O 0.0578 0.0578 0.7816
6 O 0.1539 0.6262 0.8033
7 O 0.3134 0.3134 0.1286
8 O 0.3738 0.8461 0.1967
9 O 0.6262 0.1539 0.8033
10 O 0.6866 0.6866 0.8714
11 O 0.8461 0.3738 0.1967
12 O 0.9422 0.9422 0.2184

Values from the calculation:
Formation energy (no corrections) in eV per formula unit: -18.58
Space-group type: C2/m

---

| no. | raw total energy (eV per atom) |
| --- | --- |
| 1 | -2.905 |
| 2 | -4.193 |
| 3 | -2.832 |
| 4 | -5.812 |
| 5 | -3.432 |
| 6 | -6.653 |